A relaxed La2YCoSn crystal, computed with PBE.

Values from the calculation:
Total magnetization, μB per formula unit: 0.0
Total DFT energy (no corrections), eV/atom: -5.914
E_form, eV/atom: -0.4289

Cell: 5.1432 5.1432 5.4176 Å, 90.00 90.00 90.00°
Closest atoms and distances in Å follow each position.
Space group P4/mmm (No. 123)
Symmetry-distinct sites (fractional):
La (0.0000, 0.5000, 0.0000) (multiplicity 2)  2 Co 2.57
Y (0.0000, 0.0000, 0.5000) (multiplicity 1)  2 Co 2.71
Co (0.0000, 0.0000, 0.0000) (multiplicity 1)  4 La 2.57, 2 Y 2.71
Sn (0.5000, 0.5000, 0.5000) (multiplicity 1)  4 Y 3.64, 8 La 3.74